1.
Entry from Alexandria: TbHo2N after structural relaxation (PBE-GGA).

Lattice parameters (Å, degrees): 3.4670 3.4670 26.8340 90.00 90.00 120.00
Space group R-3m (No. 166, hexagonal axes)
Symmetry-distinct sites (fractional):
Tb 0.0000 0.0000 0.0000
Ho 0.0000 0.0000 0.2171
N 0.0000 0.0000 0.5000

The calculation puts the relative energy among the computed polymorphs at 0.0 kJ/mol of atoms. The value obtained for the uncorrected formation energy is -794 meV per atom. As for the crystal system: trigonal.

2.
Entry from Alexandria: TbHo3N4 after structural relaxation (PBE-GGA).

Lattice parameters (Å, degrees): 5.9955 6.9274 5.9959 90.00 109.45 90.00
Space group P2/c (No. 13)
Symmetry-distinct sites (fractional):
Tb 0.0000 0.1254 0.2500
Ho 0.0000 0.3755 0.7500
Ho 0.5000 0.1255 0.7500
Ho 0.5000 0.3755 0.2500
N 0.2506 0.3763 0.5013
N 0.2522 0.1262 0.9996

The value obtained for the uncorrected formation energy is -1723 meV per atom. As for the crystal system: monoclinic.

3.
Entry from Alexandria: TbHo3N3 after structural relaxation (PBE-GGA).

Lattice parameters (Å, degrees): 4.8992 4.8992 4.8992 90.00 90.00 90.00
Space group Pm-3m (No. 221)
Symmetry-distinct sites (fractional):
Tb 0.0000 0.0000 0.0000
Ho 0.0000 0.5000 0.5000
N 0.0000 0.0000 0.5000

The value obtained for the uncorrected formation energy is -1400 meV per atom. As for the crystal system: cubic.

4.
Entry from Alexandria: Tb4HoN4 after structural relaxation (PBE-GGA).

Lattice parameters (Å, degrees): 7.8406 7.8406 4.9535 90.00 90.00 90.00
Space group I4/m (No. 87)
Symmetry-distinct sites (fractional):
Tb 0.1093 0.3116 0.0000
Ho 0.0000 0.0000 0.5000
N 0.0974 0.2958 0.5000

The value obtained for the uncorrected formation energy is -1480 meV per atom. As for the crystal system: tetragonal.

5.
Entry from Alexandria: TbHoN after structural relaxation (PBE-GGA).

Lattice parameters (Å, degrees): 5.9965 5.9965 5.9965 90.00 90.00 90.00
Space group F-43m (No. 216)
Symmetry-distinct sites (fractional):
Tb 0.0000 0.0000 0.0000
Ho 0.0000 0.0000 0.5000
N 0.2500 0.2500 0.2500

The calculation puts the relative energy among the computed polymorphs at 68.8 kJ/mol of atoms. The value obtained for the uncorrected formation energy is -323 meV per atom. As for the crystal system: cubic.

6.
Entry from Alexandria: Tb2Ho3N4 after structural relaxation (PBE-GGA).

Lattice parameters (Å, degrees): 11.5707 3.4770 8.5752 90.00 119.65 90.00
Space group C2/m (No. 12)
Symmetry-distinct sites (fractional):
Tb 0.1054 0.0000 0.3886
Ho 0.0000 0.5000 0.0000
Ho 0.2050 0.5000 0.8114
N 0.1030 0.0000 0.9035
N 0.1993 0.5000 0.3007

The value obtained for the uncorrected formation energy is -1519 meV per atom. As for the crystal system: monoclinic.

7.
Entry from Alexandria: Tb5HoN6 after structural relaxation (PBE-GGA).

Lattice parameters (Å, degrees): 6.0438 10.4699 6.0440 90.00 109.46 90.00
Space group C2/m (No. 12)
Symmetry-distinct sites (fractional):
Tb 0.0000 0.0000 0.0000
Tb 0.0000 0.1667 0.5000
Tb 0.0000 0.3336 0.0000
Ho 0.0000 0.5000 0.5000
N 0.2485 0.5000 0.2509
N 0.2487 0.3342 0.7490

The value obtained for the uncorrected formation energy is -1676 meV per atom. As for the crystal system: monoclinic.

8.
Entry from Alexandria: Tb4HoN5 after structural relaxation (PBE-GGA).

Lattice parameters (Å, degrees): 7.7994 7.7994 4.9340 90.00 90.00 90.00
Space group I4/m (No. 87)
Symmetry-distinct sites (fractional):
Tb 0.1001 0.7004 0.0000
Ho 0.0000 0.0000 0.5000
N 0.0000 0.0000 0.0000
N 0.0994 0.7018 0.5000

The value obtained for the uncorrected formation energy is -1679 meV per atom. As for the crystal system: tetragonal.